(1)
# GGA-PBE TcHgW2, optimized geometry
data_TcHgW2
_chemical_formula_sum 'Tc1 Hg1 W2'
_cell_length_a 2.902
_cell_length_b 4.014
_cell_length_c 5.776
_cell_angle_alpha 90.00
_cell_angle_beta 90.12
_cell_angle_gamma 90.00
_space_group_name_H-M_alt 'P 1 2/m 1'
_space_group_IT_number 10
_space_group_name_Hall '-P 2y'
loop_
_atom_site_label
_atom_site_fract_x
_atom_site_fract_y
_atom_site_fract_z
Tc1 0.000 0.000 0.000
Hg1 0.000 0.000 0.500
W1 0.499 0.500 0.218
# Energy, eV per cell: -34.67
# Crystal system: monoclinic
# M_tot, Bohr magnetons per cell: 0.00

=====

(2)
# GGA-PBE HgBi6Pd12, optimized geometry
data_HgBi6Pd12
_chemical_formula_sum 'Hg3 Bi18 Pd36'
_cell_length_a 11.9163
_cell_length_b 11.9163
_cell_length_c 9.4730
_cell_angle_alpha 90.00
_cell_angle_beta 90.00
_cell_angle_gamma 120.00
_space_group_name_H-M_alt 'R -3'
_space_group_IT_number 148
_space_group_name_Hall '-R 3'
loop_
_atom_site_label
_atom_site_fract_x
_atom_site_fract_y
_atom_site_fract_z
Hg1 0.0000 0.0000 0.0000
Bi1 0.0538 0.1957 0.7263
Pd1 0.0299 0.2535 0.0152
Pd2 0.0706 0.4911 0.1121
# Energy, eV per cell: -266.78
# Crystal system: trigonal
# M_tot, Bohr magnetons per cell: 0.00

=====

(3)
# GGA-PBE NbVNi2Sn, optimized geometry
data_NbVNi2Sn
_chemical_formula_sum 'Nb1 V1 Ni2 Sn1'
_cell_length_a 4.468
_cell_length_b 4.468
_cell_length_c 4.833
_cell_angle_alpha 90.00
_cell_angle_beta 90.00
_cell_angle_gamma 90.00
_space_group_name_H-M_alt 'P 4/m m m'
_space_group_IT_number 123
_space_group_name_Hall '-P 4 2'
loop_
_atom_site_label
_atom_site_fract_x
_atom_site_fract_y
_atom_site_fract_z
Nb1 0.000 0.000 0.000
V1 0.500 0.500 0.000
Ni1 0.000 0.500 0.500
Sn1 0.500 0.500 0.500
# Energy, eV per cell: -28.21
# Crystal system: tetragonal
# M_tot, Bohr magnetons per cell: 0.00

=====

(4)
# GGA-PBE Nd2SmZn, optimized geometry
data_Nd2SmZn
_chemical_formula_sum 'Nd6 Sm3 Zn3'
_cell_length_a 3.6642
_cell_length_b 3.6642
_cell_length_c 31.9543
_cell_angle_alpha 90.00
_cell_angle_beta 90.00
_cell_angle_gamma 120.00
_space_group_name_H-M_alt 'R -3 m'
_space_group_IT_number 166
_space_group_name_Hall '-R 3 2"'
loop_
_atom_site_label
_atom_site_fract_x
_atom_site_fract_y
_atom_site_fract_z
Nd1 0.0000 0.0000 0.2393
Sm1 0.0000 0.0000 0.0000
Zn1 0.0000 0.0000 0.5000
# Crystal system: trigonal
# Energy relative to the lowest polymorph listed for this composition, eV/atom: 0.110
# M_tot, Bohr magnetons per cell: 0.00

=====

(5)
# GGA-PBE TbPm2Cd2Hg2, optimized geometry
data_TbPm2Cd2Hg2
_chemical_formula_sum 'Tb3 Pm6 Cd6 Hg6'
_cell_length_a 4.9568
_cell_length_b 4.9568
_cell_length_c 26.9195
_cell_angle_alpha 90.00
_cell_angle_beta 90.00
_cell_angle_gamma 120.00
_space_group_name_H-M_alt 'R -3 m'
_space_group_IT_number 166
_space_group_name_Hall '-R 3 2"'
loop_
_atom_site_label
_atom_site_fract_x
_atom_site_fract_y
_atom_site_fract_z
Tb1 0.0000 0.0000 0.0000
Pm1 0.0000 0.0000 0.1251
Cd1 0.0000 0.0000 0.2615
Hg1 0.0000 0.0000 0.3941
# Energy, eV per cell: -55.15
# Crystal system: trigonal
# M_tot, Bohr magnetons per cell: 0.00

=====

(6)
# GGA-PBE PmGdNi, optimized geometry
data_PmGdNi
_chemical_formula_sum 'Pm1 Gd1 Ni1'
_cell_length_a 3.9337
_cell_length_b 3.9337
_cell_length_c 6.3541
_cell_angle_alpha 90.00
_cell_angle_beta 90.00
_cell_angle_gamma 120.00
_space_group_name_H-M_alt 'P 3 m 1'
_space_group_IT_number 156
_space_group_name_Hall 'P 3 -2"'
loop_
_atom_site_label
_atom_site_fract_x
_atom_site_fract_y
_atom_site_fract_z
Pm1 0.0000 0.0000 0.0000
Gd1 0.6667 0.3333 0.5103
Ni1 0.3333 0.6667 0.7504
# Crystal system: trigonal
# Energy relative to the lowest polymorph listed for this composition, eV/atom: 0.053
# M_tot, Bohr magnetons per cell: 7.44

=====

(7)
# GGA-PBE Cs2RbBaSe, optimized geometry
data_Cs2RbBaSe
_chemical_formula_sum 'Cs2 Rb1 Ba1 Se1'
_cell_length_a 7.415
_cell_length_b 7.415
_cell_length_c 6.386
_cell_angle_alpha 90.00
_cell_angle_beta 90.00
_cell_angle_gamma 90.00
_space_group_name_H-M_alt 'P 4/m m m'
_space_group_IT_number 123
_space_group_name_Hall '-P 4 2'
loop_
_atom_site_label
_atom_site_fract_x
_atom_site_fract_y
_atom_site_fract_z
Cs1 0.000 0.500 0.000
Rb1 0.000 0.000 0.500
Ba1 0.500 0.500 0.500
Se1 0.500 0.500 0.000
# Crystal system: tetragonal
# M_tot, Bohr magnetons per cell: 0.00
# Uncorrected formation energy, eV/atom: -0.61

=====

(8)
# GGA-PBE CePu2CrC4, optimized geometry
data_CePu2CrC4
_chemical_formula_sum 'Ce4 Pu8 Cr4 C16'
_cell_length_a 3.495
_cell_length_b 11.492
_cell_length_c 12.002
_cell_angle_alpha 90.00
_cell_angle_beta 90.00
_cell_angle_gamma 90.00
_space_group_name_H-M_alt 'C m c m'
_space_group_IT_number 63
_space_group_name_Hall '-C 2c 2'
loop_
_atom_site_label
_atom_site_fract_x
_atom_site_fract_y
_atom_site_fract_z
Ce1 0.000 0.104 0.250
Pu1 0.000 0.369 0.044
Cr1 0.000 0.164 0.750
C1 0.000 0.000 0.000
C2 0.000 0.262 0.630
C3 0.000 0.418 0.250
# Energy, eV per cell: -323.46
# Crystal system: orthorhombic
# M_tot, Bohr magnetons per cell: 39.72

=====

(9)
# GGA-PBE PmErAu, optimized geometry
data_PmErAu
_chemical_formula_sum 'Pm1 Er1 Au1'
_cell_length_a 4.9057
_cell_length_b 4.9057
_cell_length_c 3.9590
_cell_angle_alpha 90.00
_cell_angle_beta 90.00
_cell_angle_gamma 120.00
_space_group_name_H-M_alt 'P 3 m 1'
_space_group_IT_number 156
_space_group_name_Hall 'P 3 -2"'
loop_
_atom_site_label
_atom_site_fract_x
_atom_site_fract_y
_atom_site_fract_z
Pm1 0.0000 0.0000 0.0000
Er1 0.3333 0.6667 0.4768
Au1 0.6667 0.3333 0.6587
# Crystal system: trigonal
# Energy relative to the lowest polymorph listed for this composition, eV/atom: 0.119
# M_tot, Bohr magnetons per cell: 0.00

=====

(10)
# GGA-PBE YTaPb2, optimized geometry
data_YTaPb2
_chemical_formula_sum 'Y2 Ta2 Pb4'
_cell_length_a 10.264
_cell_length_b 3.356
_cell_length_c 5.943
_cell_angle_alpha 90.00
_cell_angle_beta 102.23
_cell_angle_gamma 90.00
_space_group_name_H-M_alt 'C 1 2/m 1'
_space_group_IT_number 12
_space_group_name_Hall '-C 2y'
loop_
_atom_site_label
_atom_site_fract_x
_atom_site_fract_y
_atom_site_fract_z
Y1 0.000 0.000 0.000
Ta1 0.000 0.500 0.500
Pb1 0.241 0.000 0.727
# Energy, eV per cell: -49.87
# Crystal system: monoclinic
# M_tot, Bohr magnetons per cell: 0.00

=====

(11)
# GGA-PBE LiHfAs2, optimized geometry
data_LiHfAs2
_chemical_formula_sum 'Li4 Hf4 As8'
_cell_length_a 6.628
_cell_length_b 6.628
_cell_length_c 6.628
_cell_angle_alpha 90.00
_cell_angle_beta 90.00
_cell_angle_gamma 90.00
_space_group_name_H-M_alt 'F m -3 m'
_space_group_IT_number 225
_space_group_name_Hall '-F 4 2 3'
loop_
_atom_site_label
_atom_site_fract_x
_atom_site_fract_y
_atom_site_fract_z
Li1 0.000 0.000 0.000
Hf1 0.000 0.000 0.500
As1 0.250 0.250 0.250
# Crystal system: cubic
# Energy relative to the lowest polymorph listed for this composition, eV/atom: 0.219
# M_tot, Bohr magnetons per cell: 0.00

=====

(12)
# GGA-PBE La2YCo, optimized geometry
data_La2YCo
_chemical_formula_sum 'La8 Y4 Co4'
_cell_length_a 7.116
_cell_length_b 10.130
_cell_length_c 6.299
_cell_angle_alpha 90.00
_cell_angle_beta 90.00
_cell_angle_gamma 90.00
_space_group_name_H-M_alt 'P n m a'
_space_group_IT_number 62
_space_group_name_Hall '-P 2ac 2n'
loop_
_atom_site_label
_atom_site_fract_x
_atom_site_fract_y
_atom_site_fract_z
La1 0.167 0.072 0.176
Y1 0.045 0.250 0.658
Co1 0.116 0.750 0.927
# Crystal system: orthorhombic
# Energy relative to the lowest polymorph listed for this composition, eV/atom: 0.000
# M_tot, Bohr magnetons per cell: 0.00